A geometry-optimized Th4Cd5Os2 structure. Source: Alexandria, functional PBE.

abc: 3.759 7.871 9.839
angles: 94.21 90.00 90.00
Element x y z (fractional)
Th 0.500 0.784 0.552
Th 0.500 0.833 0.152
Th 0.500 0.216 0.448
Os 0.000 0.922 0.357
Cd 0.000 0.460 0.681
Cd 0.000 0.500 0.000
Th 0.500 0.167 0.848
Cd 0.000 0.189 0.149
Os 0.000 0.078 0.643
Cd 0.000 0.540 0.319
Cd 0.000 0.811 0.851

## Properties
Raw total energy = -59.0 eV for the cell shown
V = 26.4 Å³/atom
Mass density = 10.70 g/cm3
ΔE_f = -207 meV per atom


A geometry-optimized BaPu2TiO8 structure. Source: Alexandria, functional PBE.

abc: 5.092 5.088 7.083
angles: 87.84 87.86 86.10
Element x y z (fractional)
O 0.303 0.302 0.994
O 0.797 0.195 0.193
Ba 0.000 0.000 0.500
O 0.807 0.204 0.807
Pu 0.510 0.510 0.236
O 0.697 0.698 0.006
O 0.193 0.796 0.193
O 0.343 0.340 0.473
Ti 0.000 0.000 0.000
Pu 0.490 0.490 0.764
O 0.203 0.805 0.807
O 0.657 0.660 0.527

## Properties
Energy relative to the elements, uncorrected = -2.73 eV/atom
Raw total energy = -110.9 eV for the cell shown
V = 15.2 Å³/atom
Mass density = 7.28 g/cm3


A geometry-optimized Sb2RuAu structure. Source: Alexandria, functional PBE.

abc: 4.830 4.830 4.830
angles: 60.00 60.00 60.00
Element x y z (fractional)
Ru 0.000 0.000 0.000
Sb 0.750 0.750 0.750
Au 0.500 0.500 0.500
Sb 0.250 0.250 0.250

## Properties
Energy relative to the elements, uncorrected = 0.30 eV/atom
Raw total energy = -19.6 eV for the cell shown
Energy above the lowest structure with this stoichiometry = 241 meV per atom
V = 19.9 Å³/atom
Mass density = 11.28 g/cm3


A geometry-optimized Sr3HN structure. Source: Alexandria, functional PBE.

abc: 3.947 6.801 10.265
angles: 102.71 90.00 90.00
Element x y z (fractional)
H 0.750 0.524 0.147
Sr 0.750 0.787 0.425
H 0.250 0.476 0.853
N 0.750 0.017 0.668
Sr 0.750 0.193 0.257
Sr 0.750 0.267 0.890
Sr 0.250 0.733 0.110
Sr 0.250 0.213 0.575
N 0.250 0.983 0.332
Sr 0.250 0.807 0.743

## Properties
Raw total energy = -37.9 eV for the cell shown
Energy above the lowest structure with this stoichiometry = 0 meV per atom
V = 26.9 Å³/atom
Mass density = 3.43 g/cm3


A geometry-optimized AcIn2Pd4Au structure. Source: Alexandria, functional PBE.

abc: 4.589 4.589 9.483
angles: 76.00 76.00 60.00
Element x y z (fractional)
Ac 0.000 0.000 0.000
In 0.234 0.234 0.298
Pd 0.875 0.875 0.376
Pd 0.400 0.400 0.801
In 0.766 0.766 0.702
Au 0.500 0.500 0.500
Pd 0.125 0.125 0.624
Pd 0.600 0.600 0.199

## Properties
Raw total energy = -38.0 eV for the cell shown
V = 20.8 Å³/atom
Mass density = 10.79 g/cm3
ΔE_f = -545 meV per atom


A geometry-optimized AlCdCl2 structure. Source: Alexandria, functional PBE.

abc: 5.121 5.121 5.121
angles: 60.00 60.00 60.00
Element x y z (fractional)
Cd 0.500 0.500 0.500
Cl 0.250 0.250 0.250
Al 0.000 0.000 0.000
Cl 0.750 0.750 0.750

## Properties
Energy relative to the elements, uncorrected = -0.26 eV/atom
Raw total energy = -9.4 eV for the cell shown
Energy above the lowest structure with this stoichiometry = 426 meV per atom
V = 23.7 Å³/atom
Mass density = 3.68 g/cm3


A geometry-optimized ZrCo2Rh structure. Source: Alexandria, functional PBE.

abc: 4.723 4.723 4.723
angles: 131.71 131.78 70.63
Element x y z (fractional)
Co 0.000 0.000 0.000
Zr 0.750 0.250 0.500
Co 0.250 0.750 0.500
Rh 0.500 0.500 0.000

## Properties
Raw total energy = -31.0 eV for the cell shown
V = 14.4 Å³/atom
Mass density = 9.02 g/cm3
ΔE_f = -233 meV per atom


> The highest mass density belongs to which entry?

Sb2RuAu


> mass density of number 6 (AlCdCl2)?

3.68 g/cm3


> Among the records above, which one has the lowest mass density?

Sr3HN